Entry from the Alexandria database: a relaxed structure of Li2FeRu (GGA-PBE).

Calculated values
The formation energy is 0.164 eV per atom. As for the total energy: -5.228 eV/atom. Its space-group type is No. 160. As for the offset from the most stable computed form: 11.5 meV per atom.

Cell lengths 9.291, 9.291, 9.291 Å; angles 16.58, 16.58, 16.58 degrees
Fractional coordinates of all 4 atoms:
Fe (0.755, 0.755, 0.755)
Li (0.007, 0.007, 0.007)
Li (0.244, 0.244, 0.244)
Ru (0.495, 0.495, 0.495)